# SrCa7Ti2Mn6O24 | Alexandria via LeMat-Bulk | PBE+U | optimized geometry
# - size of the total moment (μB per cell) = 36.4
# - final energy (eV/atom) = -7.198
data_SrCa7Ti2Mn6O24
_symmetry_space_group_name_H-M 'A m m 2'
_symmetry_Int_Tables_number 38
_symmetry_space_group_name_Hall 'A 2 -2'
_cell_length_a 7.6257
_cell_length_b 10.8406
_cell_length_c 10.8589
_cell_angle_alpha 90.00
_cell_angle_beta 90.00
_cell_angle_gamma 90.00
loop_
_atom_site_label
_atom_site_fract_x
_atom_site_fract_y
_atom_site_fract_z
Sr1 0.0000 0.0000 0.0000
Ca1 0.0000 0.0000 0.4910
Ca2 0.0000 0.2443 0.7407
Ca3 0.5000 0.0000 0.0098
Ca4 0.5000 0.0000 0.5004
Ca5 0.5000 0.2428 0.7594
Ti1 0.2519 0.0000 0.2515
Mn1 0.2515 0.0000 0.7488
Mn2 0.2520 0.2489 0.5003
O1 0.0000 0.0000 0.2721
O2 0.0000 0.0000 0.7063
O3 0.0000 0.2137 0.5150
O4 0.2054 0.1317 0.8676
O5 0.2288 0.1288 0.1248
O6 0.2779 0.1250 0.3784
O7 0.3034 0.1264 0.6262
O8 0.5000 0.0000 0.2261
O9 0.5000 0.0000 0.7945
O10 0.5000 0.2125 0.9841